{
  "formula": "ZnPRhO2",
  "functional": "PBE",
  "state": "relaxed",
  "density_g_cm3": 4.9,
  "total_magnetization_mub_per_cell": 1.8,
  "total_energy_ev_per_atom": -4.468,
  "space_group": "No. 123",
  "e_form_raw_mev_per_atom": 322,
  "volume_a3_per_atom": 15.6,
  "lattice_angstrom": [[3.5880, 0.0000, 0.0000], [0.0000, 3.5880, 0.0000], [0.0000, 0.0000, 6.0782]],
  "species": ["Zn", "P", "Rh", "O", "O"],
  "frac_coords": [[0.0000, 0.0000, 0.0000], [0.0000, 0.0000, 0.5000], [0.5000, 0.5000, 0.5000], [0.0000, 0.5000, 0.0000], [0.5000, 0.0000, 0.0000]]
}